# 1
Computed, not measured: YPtBr2 after structural relaxation at the PBEsol level of DFT.

Summary:
The energy above the most stable polymorph in this dataset is 625 meV/atom. The energy relative to the elements, uncorrected is -0.31 eV/atom.

a b c (Å): 9.064 9.064 9.064
angles (deg): 21.92 21.92 21.92
Element x y z (fractional)
1 Y 0.000 0.000 0.000
2 Pt 0.500 0.500 0.500
3 Br 0.259 0.259 0.259
4 Br 0.741 0.741 0.741

***

# 2
Computed, not measured: YPt3Br after structural relaxation at the PBEsol level of DFT.

Summary:
The energy relative to the elements, uncorrected is 1.17 eV/atom.

a b c (Å): 5.045 5.045 5.045
angles (deg): 90.00 90.00 90.00
Element x y z (fractional)
1 Y 0.000 0.000 0.000
2 Pt 0.000 0.000 0.500
3 Pt 0.000 0.500 0.000
4 Pt 0.500 0.000 0.000
5 Br 0.500 0.500 0.500

***

# 3
Computed, not measured: ZnPtBr2 after structural relaxation at the PBEsol level of DFT.

Summary:
The energy above the most stable polymorph in this dataset is 0 meV/atom. The energy relative to the elements, uncorrected is -0.17 eV/atom.

a b c (Å): 3.571 3.505 7.183
angles (deg): 90.00 99.53 90.00
Element x y z (fractional)
1 Zn 0.000 0.000 0.000
2 Pt 0.467 0.500 0.908
3 Br 0.337 0.000 0.634
4 Br 0.753 0.500 0.246

***

# 4
Computed, not measured: ZnPt2Br after structural relaxation at the PBEsol level of DFT.

Summary:
The energy relative to the elements, uncorrected is 0.23 eV/atom.

a b c (Å): 2.908 4.431 5.059
angles (deg): 90.00 90.00 90.00
Element x y z (fractional)
1 Zn 0.000 0.000 0.000
2 Pt 0.000 0.500 0.500
3 Pt 0.500 0.500 0.000
4 Br 0.500 0.000 0.500

***

# 5
Computed, not measured: Zn4PtBr after structural relaxation at the PBEsol level of DFT.

Summary:
The energy relative to the elements, uncorrected is 0.20 eV/atom.

a b c (Å): 5.116 5.116 5.116
angles (deg): 60.00 60.00 60.00
Element x y z (fractional)
1 Zn 0.124 0.124 0.124
2 Zn 0.124 0.124 0.627
3 Zn 0.124 0.627 0.124
4 Zn 0.627 0.124 0.124
5 Pt 0.750 0.750 0.750
6 Br 0.500 0.500 0.500

***

# 6
Computed, not measured: Zn2PtBr after structural relaxation at the PBEsol level of DFT.

Summary:
The energy above the most stable polymorph in this dataset is 0 meV/atom. The energy relative to the elements, uncorrected is -0.26 eV/atom.

a b c (Å): 3.037 3.332 7.094
angles (deg): 90.00 90.00 90.00
Element x y z (fractional)
1 Zn 0.000 0.000 0.193
2 Zn 0.000 0.000 0.807
3 Pt 0.500 0.500 0.000
4 Br 0.500 0.000 0.500

***

# 7
Computed, not measured: Zn2PtBr after structural relaxation at the PBEsol level of DFT.

Summary:
The energy above the most stable polymorph in this dataset is 522 meV/atom. The energy relative to the elements, uncorrected is 0.26 eV/atom.

a b c (Å): 4.562 4.562 4.562
angles (deg): 60.00 60.00 60.00
Element x y z (fractional)
1 Zn 0.250 0.250 0.250
2 Zn 0.750 0.750 0.750
3 Pt 0.000 0.000 0.000
4 Br 0.500 0.500 0.500

***

# 8
Computed, not measured: Zn2PtBr after structural relaxation at the PBEsol level of DFT.

Summary:
The energy above the most stable polymorph in this dataset is 159 meV/atom. The energy relative to the elements, uncorrected is -0.11 eV/atom.

a b c (Å): 3.499 3.499 6.543
angles (deg): 90.00 90.00 90.00
Element x y z (fractional)
1 Zn 0.000 0.000 0.000
2 Zn 0.500 0.500 0.343
3 Pt 0.500 0.500 0.976
4 Br 0.000 0.000 0.510

***

# 9
Computed, not measured: Zn2PtBr after structural relaxation at the PBEsol level of DFT.

Summary:
The energy above the most stable polymorph in this dataset is 254 meV/atom. The energy relative to the elements, uncorrected is -0.01 eV/atom.

a b c (Å): 4.700 4.700 2.966
angles (deg): 90.00 90.00 92.85
Element x y z (fractional)
1 Zn 0.000 0.500 0.000
2 Zn 0.500 0.000 0.000
3 Pt 0.000 0.000 0.500
4 Br 0.500 0.500 0.500

***

# 10
Computed, not measured: ZnPtBr2 after structural relaxation at the PBEsol level of DFT.

Summary:
The energy above the most stable polymorph in this dataset is 325 meV/atom. The energy relative to the elements, uncorrected is 0.16 eV/atom.

a b c (Å): 4.901 4.901 4.901
angles (deg): 116.43 116.43 96.30
Element x y z (fractional)
1 Zn 0.000 0.000 0.000
2 Pt 0.500 0.500 0.000
3 Br 0.000 0.500 0.500
4 Br 0.500 0.000 0.500

***

# 11
Computed, not measured: ZnPt3Br after structural relaxation at the PBEsol level of DFT.

Summary:
The energy relative to the elements, uncorrected is 1.08 eV/atom.

a b c (Å): 4.614 4.614 4.614
angles (deg): 90.00 90.00 90.00
Element x y z (fractional)
1 Zn 0.000 0.000 0.000
2 Pt 0.000 0.000 0.500
3 Pt 0.000 0.500 0.000
4 Pt 0.500 0.000 0.000
5 Br 0.500 0.500 0.500

***

# 12
Computed, not measured: Zr2PtBr after structural relaxation at the PBEsol level of DFT.

Summary:
The energy above the most stable polymorph in this dataset is 315 meV/atom. The energy relative to the elements, uncorrected is -0.30 eV/atom.

a b c (Å): 5.879 5.879 5.879
angles (deg): 141.57 141.57 55.48
Element x y z (fractional)
1 Zr 0.000 0.000 0.000
2 Zr 0.750 0.250 0.500
3 Pt 0.250 0.750 0.500
4 Br 0.500 0.500 0.000